This record from Alexandria describes crystalline CsFeCl2F at its relaxed geometry. The functional is PBE+U.

## Properties
E_tot, Ry per atom: -0.3111
Calculated volume, Å³/atom: 23.58
M_tot, μB per atom: 0.80
Calculated density, g cm⁻³: 3.92
DOS at the Fermi energy, states/eV/cell: 0.0

a b c (Å): 5.330 5.330 4.150
angles (deg): 90.00 90.00 90.00
Space group P4/mmm (No. 123)
One atom of each set of equivalent atoms:
1 Cs 0.000 0.000 0.000 [1 per cell]
2 Fe 0.500 0.500 0.500 [1 per cell]
3 Cl 0.000 0.500 0.500 [2 per cell]
4 F 0.500 0.500 0.000 [1 per cell]